1.
Tb4SiTe3 | Alexandria via LeMat-Bulk | PBE | optimized geometry; energy relative to the elements, uncorrected = -1.265 eV/atom; space group = No. 65; DFT total energy = -5.436 eV per atom
1.0
4.287 0.000 0.000
0.000 7.536 -0.041
0.000 -2.415 7.139
Te Tb Si
3 4 1
Direct
0.500 0.500 0.500 Te
0.000 0.000 0.500 Te
0.000 0.500 0.000 Te
0.000 0.222 0.222 Tb
0.500 0.232 0.768 Tb
0.000 0.778 0.778 Tb
0.500 0.768 0.232 Tb
0.500 0.000 0.000 Si

=====

2.
Tb4Si2Te | Alexandria via LeMat-Bulk | PBE | optimized geometry; energy relative to the elements, uncorrected = -0.676 eV/atom; space group = No. 227; DFT total energy = -5.320 eV per atom
1.0
-0.238 8.163 2.960
-4.431 2.432 -7.065
-2.948 -6.503 4.950
Tb Si Te
8 4 2
Direct
0.818 0.606 0.212 Tb
0.394 0.606 0.788 Tb
0.394 0.182 0.788 Tb
0.856 0.568 0.712 Tb
0.856 0.144 0.288 Tb
0.432 0.144 0.288 Tb
0.856 0.144 0.712 Tb
0.394 0.606 0.212 Tb
0.625 0.875 0.250 Si
0.125 0.375 0.750 Si
0.625 0.375 0.250 Si
0.625 0.375 0.750 Si
0.000 0.000 0.000 Te
0.250 0.750 0.500 Te

=====

3.
Tb2SiTe | Alexandria via LeMat-Bulk | PBE | optimized geometry; energy relative to the elements, uncorrected = -1.104 eV/atom; space group = No. 166; ΔE to the lowest computed polymorph = 0.000 eV/atom; DFT total energy = -5.561 eV per atom
1.0
-3.134 0.827 2.730
-0.848 -0.450 -4.128
1.373 -7.386 0.519
Te Si Tb
1 1 2
Direct
0.000 0.500 0.500 Te
0.000 0.000 0.000 Si
0.520 0.260 0.780 Tb
0.480 0.740 0.220 Tb

=====

4.
Tb3Si5Te12 | Alexandria via LeMat-Bulk | PBE | optimized geometry; energy relative to the elements, uncorrected = -0.421 eV/atom; space group = No. 230; DFT total energy = -4.356 eV per atom
1.0
-5.947 -1.076 13.492
12.865 -7.277 -0.310
2.312 14.237 -3.245
Si Tb Te
20 12 48
Direct
0.750 0.125 0.875 Si
0.250 0.875 0.125 Si
0.250 0.375 0.625 Si
0.000 0.500 0.000 Si
0.000 0.500 0.500 Si
0.375 0.125 0.750 Si
0.000 0.000 0.000 Si
0.375 0.250 0.125 Si
0.500 0.000 0.500 Si
0.625 0.875 0.250 Si
0.500 0.000 0.000 Si
0.875 0.625 0.750 Si
0.500 0.500 0.000 Si
0.875 0.250 0.625 Si
0.625 0.750 0.875 Si
0.750 0.625 0.375 Si
0.125 0.375 0.250 Si
0.500 0.500 0.500 Si
0.125 0.750 0.375 Si
0.000 0.000 0.500 Si
0.125 0.875 0.750 Tb
0.125 0.250 0.875 Tb
0.625 0.375 0.750 Tb
0.375 0.625 0.250 Tb
0.875 0.750 0.125 Tb
0.250 0.125 0.375 Tb
0.375 0.750 0.625 Tb
0.750 0.375 0.125 Tb
0.250 0.625 0.875 Tb
0.750 0.875 0.625 Tb
0.875 0.125 0.250 Tb
0.625 0.250 0.375 Tb
0.713 0.127 0.035 Te
0.586 0.713 0.678 Te
0.822 0.914 0.287 Te
0.535 0.322 0.909 Te
0.591 0.965 0.678 Te
0.914 0.091 0.627 Te
0.373 0.409 0.086 Te
0.035 0.409 0.822 Te
0.287 0.873 0.965 Te
0.213 0.535 0.627 Te
0.127 0.713 0.535 Te
0.909 0.086 0.873 Te
0.409 0.035 0.322 Te
0.873 0.287 0.465 Te
0.178 0.091 0.965 Te
0.873 0.586 0.909 Te
0.213 0.678 0.086 Te
0.586 0.873 0.409 Te
0.414 0.287 0.322 Te
0.914 0.822 0.787 Te
0.287 0.414 0.822 Te
0.086 0.178 0.213 Te
0.627 0.035 0.213 Te
0.091 0.178 0.465 Te
0.322 0.535 0.409 Te
0.373 0.965 0.787 Te
0.909 0.822 0.535 Te
0.787 0.465 0.373 Te
0.465 0.787 0.873 Te
0.086 0.909 0.373 Te
0.409 0.373 0.586 Te
0.035 0.627 0.713 Te
0.713 0.586 0.178 Te
0.787 0.322 0.914 Te
0.678 0.465 0.591 Te
0.822 0.909 0.035 Te
0.965 0.591 0.178 Te
0.127 0.414 0.091 Te
0.465 0.678 0.091 Te
0.678 0.213 0.586 Te
0.414 0.127 0.591 Te
0.322 0.787 0.414 Te
0.965 0.373 0.287 Te
0.535 0.213 0.127 Te
0.591 0.627 0.414 Te
0.178 0.086 0.713 Te
0.627 0.591 0.914 Te
0.091 0.914 0.127 Te

=====

5.
Tb3SiTe | Alexandria via LeMat-Bulk | PBE | optimized geometry; energy relative to the elements, uncorrected = -0.744 eV/atom; space group = No. 15; DFT total energy = -5.235 eV per atom
1.0
7.156 0.300 0.268
1.137 9.456 0.398
1.137 1.468 9.350
Tb Te Si
12 4 4
Direct
0.959 0.973 0.814 Tb
0.462 0.160 0.639 Tb
0.059 0.661 0.533 Tb
0.541 0.186 0.027 Tb
0.459 0.814 0.973 Tb
0.038 0.361 0.840 Tb
0.041 0.027 0.186 Tb
0.538 0.840 0.361 Tb
0.559 0.533 0.661 Tb
0.962 0.639 0.160 Tb
0.441 0.467 0.339 Tb
0.941 0.339 0.467 Tb
0.308 0.152 0.350 Te
0.192 0.650 0.848 Te
0.692 0.848 0.650 Te
0.808 0.350 0.152 Te
0.750 0.910 0.090 Si
0.250 0.746 0.254 Si
0.750 0.254 0.746 Si
0.250 0.090 0.910 Si

=====

6.
TbTh2Si2 | Alexandria via LeMat-Bulk | PBE | optimized geometry; energy relative to the elements, uncorrected = -0.674 eV/atom; space group = No. 127; DFT total energy = -6.737 eV per atom
1.0
-3.476 -1.258 -2.118
3.691 -6.336 -2.293
-2.473 -3.706 6.258
Th Tb Si
4 2 4
Direct
0.500 0.321 0.179 Th
0.500 0.179 0.679 Th
0.500 0.679 0.821 Th
0.500 0.821 0.321 Th
0.000 0.000 0.000 Tb
0.000 0.500 0.500 Tb
0.000 0.116 0.384 Si
0.000 0.384 0.884 Si
0.000 0.616 0.116 Si
0.000 0.884 0.616 Si

=====

7.
TbThSi | Alexandria via LeMat-Bulk | PBE | optimized geometry; energy relative to the elements, uncorrected = -0.334 eV/atom; space group = No. 216; ΔE to the lowest computed polymorph = 0.000 eV/atom; DFT total energy = -6.158 eV per atom
1.0
4.915 0.000 0.000
2.458 4.257 0.000
2.458 1.419 4.013
Th Tb Si
1 1 1
Direct
0.500 0.500 0.500 Th
0.000 0.000 0.000 Tb
0.250 0.250 0.250 Si

=====

8.
Tb2ThSi2 | Alexandria via LeMat-Bulk | PBE | optimized geometry; energy relative to the elements, uncorrected = -0.499 eV/atom; space group = No. 14; DFT total energy = -6.004 eV per atom
1.0
6.973 0.000 0.510
0.000 7.444 0.000
-0.070 0.000 9.796
Tb Th Si
8 4 8
Direct
0.662 0.163 0.706 Tb
0.338 0.837 0.294 Tb
0.533 0.742 0.987 Tb
0.838 0.663 0.294 Tb
0.467 0.258 0.013 Tb
0.967 0.242 0.013 Tb
0.162 0.337 0.706 Tb
0.033 0.758 0.987 Tb
0.489 0.677 0.638 Th
0.011 0.177 0.362 Th
0.989 0.823 0.638 Th
0.511 0.323 0.362 Th
0.205 0.498 0.168 Si
0.331 0.044 0.543 Si
0.831 0.456 0.543 Si
0.669 0.956 0.457 Si
0.705 0.002 0.168 Si
0.795 0.502 0.832 Si
0.169 0.544 0.457 Si
0.295 0.998 0.832 Si